DFT (PBEsol) results for LiGa2FeIr after structural relaxation.

The structure in POSCAR format:
```
LiGa2FeIr
1.0
4.123 0.000 0.000
0.000 4.123 0.000
0.000 0.000 3.821
Li Ga Fe Ir
1 2 1 1
Direct
0.000 0.000 0.000
0.000 0.500 0.000
0.500 0.000 0.000
0.000 0.000 0.500
0.500 0.500 0.500
```

## Properties
* E: -4.724 eV per atom
* DFT formation energy: 73.55 kJ per mole of atoms
* D(E_F): 3.44 states/eV/cell
* total moment: 0.2273 μB per atom